## PuU2RuN4 (GGA-PBE)

Data for crystalline PuU2RuN4 at its relaxed geometry.

Cell: 6.0177 6.0177 11.4903 Å, 90.00 90.00 147.34°
Last column: nearest neighbours and their distance in Å.
Fractional positions:
Pu 0.1090 0.8910 0.7500  6 N 2.43-2.71
Pu 0.8910 0.1090 0.2500  6 N 2.43-2.71
U 0.3707 0.6293 0.5574  6 N 2.21-2.45
U 0.3707 0.6293 0.9426  6 N 2.21-2.45
U 0.6293 0.3707 0.0574  6 N 2.21-2.45
U 0.6293 0.3707 0.4426  6 N 2.21-2.45
Ru 0.1552 0.8448 0.2500  4 N 2.12-2.14
Ru 0.8448 0.1552 0.7500  4 N 2.12-2.14
N 0.0000 0.0000 0.0000  4 U 2.35
N 0.0000 0.0000 0.5000  4 U 2.35
N 0.2740 0.7260 0.1088  1 Ru 2.12, 1 U 2.21
N 0.2740 0.7260 0.3912  1 Ru 2.12, 1 U 2.21
N 0.4583 0.5417 0.7500  2 Ru 2.14
N 0.5417 0.4583 0.2500  2 Ru 2.14
N 0.7260 0.2740 0.6088  1 Ru 2.12, 1 U 2.21
N 0.7260 0.2740 0.8912  1 Ru 2.12, 1 U 2.21

Computed properties:
- SG: Cmcm (63)
- E_form (uncorrected): -0.990 eV/atom